1.
DFT (SCAN) results for a PBEsol-optimized structure of CaCd2Hg.

```
data_CaCd2Hg
_cell_length_a 4.023
_cell_length_b 4.887
_cell_length_c 9.606
_cell_angle_alpha 90.00
_cell_angle_beta 90.00
_cell_angle_gamma 90.00
_symmetry_space_group_name_H-M 'P 1'
_symmetry_Int_Tables_number 1
loop_
_symmetry_equiv_pos_as_xyz
'x,y,z'
loop_
_atom_site_label
_atom_site_fract_x
_atom_site_fract_y
_atom_site_fract_z
_atom_site_occupancy
Ca1 0.000 0.000 0.000 1
Ca2 0.500 0.500 0.500 1
Cd1 0.000 0.500 0.236 1
Cd2 0.000 0.500 0.764 1
Cd3 0.500 0.000 0.264 1
Cd4 0.500 0.000 0.736 1
Hg1 0.000 0.000 0.500 1
Hg2 0.500 0.500 0.000 1
```

Output
The calculation puts the formation energy at -0.318 eV per atom. Its crystal system is orthorhombic.

=====

2.
DFT (SCAN) results for a PBEsol-optimized structure of HgSI2.

```
data_HgSI2
_cell_length_a 7.388
_cell_length_b 7.388
_cell_length_c 7.388
_cell_angle_alpha 90.00
_cell_angle_beta 90.00
_cell_angle_gamma 90.00
_symmetry_space_group_name_H-M 'P 1'
_symmetry_Int_Tables_number 1
loop_
_symmetry_equiv_pos_as_xyz
'x,y,z'
loop_
_atom_site_label
_atom_site_fract_x
_atom_site_fract_y
_atom_site_fract_z
_atom_site_occupancy
Hg1 0.000 0.000 0.000 1
Hg2 0.000 0.500 0.500 1
Hg3 0.500 0.000 0.500 1
Hg4 0.500 0.500 0.000 1
S1 0.000 0.000 0.500 1
S2 0.000 0.500 0.000 1
S3 0.500 0.000 0.000 1
S4 0.500 0.500 0.500 1
I1 0.250 0.250 0.250 1
I2 0.250 0.250 0.750 1
I3 0.250 0.750 0.250 1
I4 0.250 0.750 0.750 1
I5 0.750 0.250 0.250 1
I6 0.750 0.250 0.750 1
I7 0.750 0.750 0.250 1
I8 0.750 0.750 0.750 1
```

Output
The value obtained for the formation energy without anion corrections is 704 meV per atom. Its crystal system is cubic.

=====

D(E_F) per entry: 1.31, 3.98 states/eV/f.u.